First-principles (SCAN) data for KTa3Te at its PBEsol-relaxed geometry, as listed in Alexandria via LeMat-Bulk.

Output
Total DFT energy (no corrections) in eV/cell: -230.17
SG: No. 221
Magnetization in μB per formula unit: 0.0

Cell: 4.681 4.681 4.681 Å, 90.00 90.00 90.00°
Positions (direct):
K 0.000 0.000 0.000
Te 0.500 0.500 0.500
Ta 0.000 0.500 0.000
Ta 0.000 0.000 0.500
Ta 0.500 0.000 0.000

First-principles (SCAN) data for Mn3Si at its PBEsol-relaxed geometry, as listed in Alexandria via LeMat-Bulk.

Output
Total DFT energy (no corrections) in eV/cell: -66.18
SG: No. 225
Magnetization in μB per formula unit: 3.0

Cell: 3.934 3.934 3.934 Å, 60.00 60.00 60.00°
Positions (direct):
Si 0.500 0.500 0.500
Mn 0.000 0.000 0.000
Mn 0.750 0.750 0.750
Mn 0.250 0.250 0.250